## one
Below is a relaxed La2Ni2W crystal, with properties calculated at the PBE-GGA level.

Structure (extended XYZ):
```
10
Lattice="7.986 0.000 0.000 0.000 7.986 0.000 0.000 0.000 3.202" Properties=species:S:1:pos:R:3 pbc="T T T"
La 1.157 2.836 0.000
La 2.836 6.829 0.000
La 5.150 1.157 0.000
La 6.829 5.150 0.000
Ni 1.347 5.340 1.601
Ni 2.646 1.347 1.601
Ni 5.340 6.639 1.601
Ni 6.639 2.646 1.601
W 0.000 0.000 0.000
W 3.993 3.993 0.000
```



## two
Below is a relaxed La2Ni2W crystal, with properties calculated at the PBE-GGA level.

Structure (extended XYZ):
```
10
Lattice="6.751 0.000 0.000 0.000 6.751 0.000 0.000 0.000 4.574" Properties=species:S:1:pos:R:3 pbc="T T T"
La 1.212 2.163 0.000
La 2.163 5.539 0.000
La 4.588 1.212 0.000
La 5.539 4.588 0.000
Ni 0.926 4.301 2.287
Ni 2.450 0.926 2.287
Ni 4.301 5.826 2.287
Ni 5.826 2.450 2.287
W 0.000 0.000 2.287
W 3.376 3.376 2.287
```



## three
Below is a relaxed La2Ni2W crystal, with properties calculated at the PBE-GGA level.

Structure (extended XYZ):
```
5
Lattice="-1.691 1.691 9.143 1.691 -1.691 9.143 1.691 1.691 -9.143" Properties=species:S:1:pos:R:3 pbc="T T T"
La 0.000 0.000 2.086
La 0.000 0.000 16.201
Ni 1.691 0.000 4.572
Ni 0.000 1.691 4.572
W 0.000 0.000 9.143
```



Relative stability in meV/atom, measured from the most stable structure: one 425; two 0; three 241



## one
Below is a relaxed La2YNi crystal, with properties calculated at the PBE-GGA level.

Structure (extended XYZ):
```
4
Lattice="1.915 1.106 9.583 -1.915 1.106 9.583 0.000 -2.211 9.583" Properties=species:S:1:pos:R:3 pbc="T T T"
La 0.000 0.000 6.563
La 0.000 0.000 22.186
Y 0.000 0.000 0.000
Ni 0.000 0.000 14.374
```



## two
Below is a relaxed La2YNi crystal, with properties calculated at the PBE-GGA level.

Structure (extended XYZ):
```
4
Lattice="5.417 0.000 0.000 0.000 3.663 0.000 -0.039 0.000 5.420" Properties=species:S:1:pos:R:3 pbc="T T T"
La 0.000 0.000 0.000
La 2.708 1.832 0.000
Y -0.020 1.832 2.710
Ni 2.689 0.000 2.710
```



## three
Below is a relaxed La2YNi crystal, with properties calculated at the PBE-GGA level.

Structure (extended XYZ):
```
8
Lattice="2.522 -6.016 0.000 2.522 6.016 0.000 0.000 0.000 7.580" Properties=species:S:1:pos:R:3 pbc="T T T"
La 2.522 4.219 4.016
La 2.522 4.219 7.355
La 2.522 -4.219 0.225
La 2.522 -4.219 3.565
Y 2.522 0.386 5.685
Y 2.522 -0.386 1.895
Ni 2.522 2.371 1.895
Ni 2.522 -2.371 5.685
```



## four
Below is a relaxed La2YNi crystal, with properties calculated at the PBE-GGA level.

Structure (extended XYZ):
```
4
Lattice="1.947 1.124 9.374 -1.947 1.124 9.374 0.000 -2.248 9.374" Properties=species:S:1:pos:R:3 pbc="T T T"
La 0.000 0.000 0.000
La 0.000 0.000 5.921
Y 0.000 0.000 12.320
Ni 0.000 0.000 17.015
```



Relative stability in meV/atom, measured from the most stable structure: one 73; two 329; three 0; four 89



## one
Below is a relaxed La2YNi crystal, with properties calculated at the PBE-GGA level.

Structure (extended XYZ):
```
4
Lattice="-2.251 2.251 5.385 2.251 -2.251 5.385 2.251 2.251 -5.385" Properties=species:S:1:pos:R:3 pbc="T T T"
La 0.000 0.000 0.000
La 0.000 2.251 2.693
Y 0.000 0.000 5.385
Ni 2.251 0.000 2.693
```



## two
Below is a relaxed La2YNi crystal, with properties calculated at the PBE-GGA level.

Structure (extended XYZ):
```
4
Lattice="-2.260 2.260 5.231 2.260 -2.260 5.231 2.260 2.260 -5.231" Properties=species:S:1:pos:R:3 pbc="T T T"
La 2.260 0.000 2.616
La 0.000 2.260 2.616
Y 0.000 0.000 0.000
Ni 0.000 0.000 5.231
```



## three
Below is a relaxed La2YNi crystal, with properties calculated at the PBE-GGA level.

Structure (extended XYZ):
```
4
Lattice="3.103 -5.222 0.000 3.103 5.222 0.000 -1.427 0.000 3.332" Properties=species:S:1:pos:R:3 pbc="T T T"
La 1.551 2.611 0.000
La 1.551 -2.611 0.000
Y -0.714 0.000 1.666
Ni 2.389 0.000 1.666
```



## four
Below is a relaxed La2YNi crystal, with properties calculated at the PBE-GGA level.

Structure (extended XYZ):
```
4
Lattice="6.092 -1.819 0.000 6.092 1.819 0.000 -2.892 0.000 5.297" Properties=species:S:1:pos:R:3 pbc="T T T"
La 0.000 0.000 0.000
La 0.268 0.000 3.764
Y 8.960 0.000 1.731
Ni 5.031 0.000 1.925
```



Relative stability in meV/atom, measured from the most stable structure: one 280; two 272; three 339; four 0